1) ! NiOsPt2 PBE optimized geometry; values from VASP
&SYSTEM
  ibrav = 0, nat = 4, ntyp = 3
/
ATOMIC_SPECIES
Ni 58.69 Ni.upf
Os 190.23 Os.upf
Pt 195.08 Pt.upf
CELL_PARAMETERS angstrom
4.7513 0.0043 -0.0078
-1.6634 4.4506 -0.0078
0.0043 0.0062 2.7074
ATOMIC_POSITIONS crystal
Ni 0.5000 0.0000 0.5000
Os 0.0000 0.5000 0.5000
Pt 0.0000 0.0000 0.0000
Pt 0.5000 0.5000 0.0000
! total magnetization	1.19	μB/cell
! density of states at the Fermi level	5.97	states/eV/cell



2) ! NiOsPt2 PBE optimized geometry; values from VASP
&SYSTEM
  ibrav = 0, nat = 4, ntyp = 3
/
ATOMIC_SPECIES
Ni 58.69 Ni.upf
Os 190.23 Os.upf
Pt 195.08 Pt.upf
CELL_PARAMETERS angstrom
2.6936 -0.2510 0.0000
-1.1277 2.4590 0.0000
0.0000 0.0000 9.2366
ATOMIC_POSITIONS crystal
Ni 0.5000 0.5000 0.2500
Os 0.5000 0.5000 0.7500
Pt 0.0000 0.0000 0.0103
Pt 0.0000 0.0000 0.4897
! total magnetization	0.43	μB/cell
! density of states at the Fermi level	5.22	states/eV/cell



Tell me which of them is the most stable. Sure, it is 1).



1) ! NiOs2Pt PBE optimized geometry; values from VASP
&SYSTEM
  ibrav = 0, nat = 4, ntyp = 3
/
ATOMIC_SPECIES
Ni 58.69 Ni.upf
Os 190.23 Os.upf
Pt 195.08 Pt.upf
CELL_PARAMETERS angstrom
2.7162 0.0000 0.0000
0.0000 2.7162 0.0000
0.0000 0.0000 7.4911
ATOMIC_POSITIONS crystal
Ni 0.5000 0.5000 0.7500
Os 0.0000 0.0000 0.9808
Os 0.0000 0.0000 0.5192
Pt 0.5000 0.5000 0.2500
! total magnetization	0.00	μB/cell
! density of states at the Fermi level	5.49	states/eV/cell



2) ! NiOs2Pt PBE optimized geometry; values from VASP
&SYSTEM
  ibrav = 0, nat = 4, ntyp = 3
/
ATOMIC_SPECIES
Ni 58.69 Ni.upf
Os 190.23 Os.upf
Pt 195.08 Pt.upf
CELL_PARAMETERS angstrom
-2.4311 8.6012 -0.6600
-4.6560 7.6396 0.5341
-2.5229 8.3572 2.0294
ATOMIC_POSITIONS crystal
Ni 0.7500 0.7500 0.7500
Os 0.0051 0.0051 0.0051
Os 0.4949 0.4949 0.4949
Pt 0.2500 0.2500 0.2500
! total magnetization	0.35	μB/cell
! density of states at the Fermi level	4.45	states/eV/cell



Tell me which of them is the most stable. Sure, it is 2).



1) ! TcNiOsPt2 PBE optimized geometry; values from VASP
&SYSTEM
  ibrav = 0, nat = 5, ntyp = 4
/
ATOMIC_SPECIES
Ni 58.69 Ni.upf
Os 190.23 Os.upf
Tc 98.00 Tc.upf
Pt 195.08 Pt.upf
CELL_PARAMETERS angstrom
-1.8305 -3.5440 -2.5508
3.9379 -0.9217 -1.5454
0.7220 -2.9735 3.6132
ATOMIC_POSITIONS crystal
Ni 0.0000 0.5000 0.0000
Os 0.5000 0.5000 0.5000
Tc 0.0000 0.0000 0.0000
Pt 0.0000 0.0000 0.5000
Pt 0.5000 0.0000 0.0000
! total magnetization	2.17	μB/cell
! density of states at the Fermi level	7.07	states/eV/cell



2) ! TcNiOsPt2 PBE optimized geometry; values from VASP
&SYSTEM
  ibrav = 0, nat = 5, ntyp = 4
/
ATOMIC_SPECIES
Ni 58.69 Ni.upf
Os 190.23 Os.upf
Tc 98.00 Tc.upf
Pt 195.08 Pt.upf
CELL_PARAMETERS angstrom
4.7859 0.0000 0.0000
0.0000 4.5949 0.0000
0.0000 0.0000 4.7859
ATOMIC_POSITIONS crystal
Ni 0.5000 0.5000 0.5000
Os 0.0000 0.5000 0.0000
Tc 0.0000 0.0000 0.0000
Pt 0.0000 0.0000 0.5000
Pt 0.5000 0.0000 0.0000
! total magnetization	0.81	μB/cell
! density of states at the Fermi level	8.57	states/eV/cell



Tell me which of them is the most stable. Sure, it is 2).



1) ! RbNi3Os PBE optimized geometry; values from VASP
&SYSTEM
  ibrav = 0, nat = 5, ntyp = 3
/
ATOMIC_SPECIES
Ni 58.69 Ni.upf
Os 190.23 Os.upf
Rb 85.47 Rb.upf
CELL_PARAMETERS angstrom
-0.4294 -3.9983 1.9967
4.4143 -0.0661 0.8169
-0.6981 2.0413 3.9375
ATOMIC_POSITIONS crystal
Ni 0.0000 0.5000 0.0000
Ni 0.0000 0.0000 0.5000
Ni 0.5000 0.0000 0.0000
Os 0.5000 0.5000 0.5000
Rb 0.0000 0.0000 0.0000
! total magnetization	3.26	μB/cell
! density of states at the Fermi level	4.64	states/eV/cell



2) ! RbNi3Os PBE optimized geometry; values from VASP
&SYSTEM
  ibrav = 0, nat = 5, ntyp = 3
/
ATOMIC_SPECIES
Ni 58.69 Ni.upf
Os 190.23 Os.upf
Rb 85.47 Rb.upf
CELL_PARAMETERS angstrom
-2.3054 -3.5468 -2.0166
2.0413 1.0028 -4.0974
3.5326 -2.8941 1.0517
ATOMIC_POSITIONS crystal
Ni 0.0000 0.5000 0.0000
Ni 0.0000 0.0000 0.5000
Ni 0.5000 0.0000 0.0000
Os 0.0000 0.0000 0.0000
Rb 0.5000 0.5000 0.5000
! total magnetization	0.00	μB/cell
! density of states at the Fermi level	7.64	states/eV/cell



Tell me which of them is the most stable. Sure, it is 2).



1) ! Rb2NiOs PBE optimized geometry; values from VASP
&SYSTEM
  ibrav = 0, nat = 8, ntyp = 3
/
ATOMIC_SPECIES
Ni 58.69 Ni.upf
Os 190.23 Os.upf
Rb 85.47 Rb.upf
CELL_PARAMETERS angstrom
-9.4164 2.8447 -8.0079
6.8913 -4.4378 -9.6800
-2.1460 -2.8462 -8.5332
ATOMIC_POSITIONS crystal
Ni 0.5000 0.5000 0.0000
Ni 0.2500 0.7500 0.5000
Os 0.0000 0.0000 0.0000
Os 0.7500 0.2500 0.5000
Rb 0.4323 0.1250 0.2500
Rb 0.3177 0.6250 0.2500
Rb 0.3750 0.5677 0.7500
Rb 0.8750 0.6823 0.7500
! total magnetization	3.32	μB/cell
! density of states at the Fermi level	11.71	states/eV/cell



2) ! Rb2NiOs PBE optimized geometry; values from VASP
&SYSTEM
  ibrav = 0, nat = 4, ntyp = 3
/
ATOMIC_SPECIES
Ni 58.69 Ni.upf
Os 190.23 Os.upf
Rb 85.47 Rb.upf
CELL_PARAMETERS angstrom
0.0000 4.0554 4.0554
4.0554 0.0000 4.0554
4.0554 4.0554 0.0000
ATOMIC_POSITIONS crystal
Ni 0.0000 0.0000 0.0000
Os 0.5000 0.5000 0.5000
Rb 0.2500 0.2500 0.2500
Rb 0.7500 0.7500 0.7500
! total magnetization	3.97	μB/cell
! density of states at the Fermi level	7.64	states/eV/cell



Tell me which of them is the most stable. Sure, it is 1).



1) ! RbNi2Os PBE optimized geometry; values from VASP
&SYSTEM
  ibrav = 0, nat = 4, ntyp = 3
/
ATOMIC_SPECIES
Ni 58.69 Ni.upf
Os 190.23 Os.upf
Rb 85.47 Rb.upf
CELL_PARAMETERS angstrom
0.0000 3.2519 3.2519
3.2519 0.0000 3.2519
3.2519 3.2519 0.0000
ATOMIC_POSITIONS crystal
Ni 0.2500 0.2500 0.2500
Ni 0.7500 0.7500 0.7500
Os 0.5000 0.5000 0.5000
Rb 0.0000 0.0000 0.0000
! total magnetization	3.01	μB/cell
! density of states at the Fermi level	4.45	states/eV/cell



2) ! RbNi2Os PBE optimized geometry; values from VASP
&SYSTEM
  ibrav = 0, nat = 8, ntyp = 3
/
ATOMIC_SPECIES
Ni 58.69 Ni.upf
Os 190.23 Os.upf
Rb 85.47 Rb.upf
CELL_PARAMETERS angstrom
5.2068 0.0000 0.0000
0.0000 5.2068 0.0000
2.6034 2.6034 7.5521
ATOMIC_POSITIONS crystal
Ni 0.8748 0.1250 0.2500
Ni 0.8752 0.6250 0.2500
Ni 0.3750 0.1252 0.7500
Ni 0.8750 0.1248 0.7500
Os 0.0000 0.0000 0.0000
Os 0.7500 0.2500 0.5000
Rb 0.5000 0.5000 0.0000
Rb 0.2500 0.7500 0.5000
! total magnetization	0.00	μB/cell
! density of states at the Fermi level	9.72	states/eV/cell



Tell me which of them is the most stable. Sure, it is 2).